Density functional theory data (PBE) for Pm2HoGe3Rh4 after structural relaxation.

Geometry as POSCAR:
```
Pm2HoGe3Rh4
1.0
4.177 0.000 0.000
0.000 4.177 0.000
0.000 0.000 11.189
Ho Pm Ge Rh
1 2 3 4
direct
0.500 0.500 0.500
0.000 0.500 0.771
0.500 0.000 0.229
0.500 0.000 0.878
0.000 0.500 0.122
0.000 0.000 0.500
0.000 0.000 0.000
0.000 0.500 0.342
0.500 0.500 0.000
0.500 0.000 0.658
```

## Properties
Raw total energy (eV per atom): -6.622
Formation energy (meV/atom): -887.9